Below is a relaxed structure of MoSCl3, with properties calculated at the PBEsol level.

Output
Symmetry   Pm-3m (221)
Crystal system   cubic

POSCAR file:
```
MoSCl3
1.0
4.810 0.000 0.000
0.000 4.810 0.000
0.000 0.000 4.810
Mo S Cl
1 1 3
Direct
0.500 0.500 0.500
0.000 0.000 0.000
0.500 0.000 0.000
0.000 0.000 0.500
0.000 0.500 0.000
```


Below is a relaxed structure of AgRu3I, with properties calculated at the PBEsol level.

Output
Symmetry   Pm-3m (221)
Crystal system   cubic

POSCAR file:
```
AgRu3I
1.0
-1.867 1.143 4.193
2.456 -3.488 2.044
3.586 2.984 0.784
Ru I Ag
3 1 1
Direct
0.500 0.000 0.000
0.000 0.000 0.500
0.000 0.500 0.000
0.000 0.000 0.000
0.500 0.500 0.500
```


For reference, ΔE_f (raw) by record: 839; 1947 meV/atom.